[1]
VASP calculation (PBE) on Ca2LaAs after structural relaxation.

Output
* calculated formation energy: -0.520 eV/atom
* space-group type: P4mm
* magnetic moment: 0.2 Bohr magnetons per cell

a = 4.1210 Å, b = 4.1210 Å, c = 7.2714 Å
α = 90.00°, β = 90.00°, γ = 90.00°
Fractional positions:
Ca 0.0000 0.0000 0.0000
Ca 0.5000 0.5000 0.2984
La 0.0000 0.0000 0.5713
As 0.5000 0.5000 0.7502


[2]
VASP calculation (PBE) on CaLaAs2 after structural relaxation.

Output
* calculated formation energy: -1.011 eV/atom
* space-group type: I-4m2
* offset from the most stable computed form: 179 meV/atom
* magnetic moment: 0.0 Bohr magnetons per cell

a = 4.2950 Å, b = 4.2950 Å, c = 11.1522 Å
α = 90.00°, β = 90.00°, γ = 90.00°
Fractional positions:
Ca 0.0000 0.0000 0.0000
Ca 0.5000 0.5000 0.5000
La 0.0000 0.5000 0.2500
La 0.5000 0.0000 0.7500
As 0.0000 0.0000 0.5000
As 0.0000 0.5000 0.7500
As 0.5000 0.0000 0.2500
As 0.5000 0.5000 0.0000